No. 1
# Sr2Ca

A PBEsol-optimized structure of Sr2Ca (SCAN, Alexandria).

a = 15.1668 Å, b = 4.0858 Å, c = 9.7065 Å
α = 90.00°, β = 105.94°, γ = 90.00°
With the nearest neighbours (Å) after each atom.
Space group C2/m (No. 12)
Asymmetric unit:
1 Sr 0.1358 0.0000 0.0284 [4 per cell]  8 Sr 4.00-4.19, 4 Ca 4.06-4.07
2 Sr 0.1887 0.0000 0.6337 [4 per cell]  5 Ca 4.00-4.18, 7 Sr 4.09-4.15
3 Ca 0.0278 0.5000 0.3063 [4 per cell]  9 Sr 4.00-4.18, 3 Ca 4.07-4.09

Summary:
formation energy = 0.0 eV per formula unit
magnetization = 0.048 μB/atom
offset from the most stable computed form = 0.002 eV/atom
uncorrected energy = -216.7 eV/cell

No. 2
# SrCa4

A PBEsol-optimized structure of SrCa4 (SCAN, Alexandria).

a = 8.1874 Å, b = 8.1874 Å, c = 8.1874 Å
α = 90.00°, β = 90.00°, γ = 90.00°
With the nearest neighbours (Å) after each atom.
Space group Im-3m (No. 229)
Asymmetric unit:
1 Sr 0.0000 0.0000 0.0000 [2 per cell]  8 Ca 3.55
2 Ca 0.2500 0.2500 0.2500 [8 per cell]  2 Sr 3.55

Summary:
formation energy = 3.3 eV per formula unit
magnetization = 0.230 μB/atom
uncorrected energy = -115.3 eV/cell

No. 3
# Sr5Ca3

A PBEsol-optimized structure of Sr5Ca3 (SCAN, Alexandria).

a = 11.1063 Å, b = 11.1063 Å, c = 7.3447 Å
α = 90.00°, β = 90.00°, γ = 120.00°
With the nearest neighbours (Å) after each atom.
Space group P6_3/mcm (No. 193)
Asymmetric unit:
1 Sr 0.0000 0.2376 0.2500 [6 per cell]  5 Ca 3.91-4.14
2 Sr 0.3333 0.6667 0.0000 [4 per cell]  2 Sr 3.67, 6 Ca 3.83
3 Ca 0.0000 0.4106 0.7500 [6 per cell]  9 Sr 3.83-4.14, 2 Ca 4.18

Summary:
formation energy = 0.7 eV per formula unit
magnetization = 0.103 μB/atom
offset from the most stable computed form = 0.074 eV/atom
uncorrected energy = -279.3 eV/cell

No. 4
# Sr3Ca

A PBEsol-optimized structure of Sr3Ca (SCAN, Alexandria).

a = 3.9633 Å, b = 6.4982 Å, c = 7.5403 Å
α = 90.00°, β = 99.46°, γ = 90.00°
With the nearest neighbours (Å) after each atom.
Space group P2/m (No. 10)
Asymmetric unit:
1 Sr 0.0000 0.0000 0.0000 [1 per cell]  2 Ca 3.96, 6 Sr 3.96-3.99
2 Sr 0.2566 0.5000 0.7457 [2 per cell]  6 Sr 3.92-4.00, 2 Ca 3.94
3 Ca 0.5000 0.0000 0.5000 [1 per cell]  6 Sr 3.94-3.96, 2 Ca 3.96

Summary:
formation energy = 0.0 eV per formula unit
magnetization = 0.007 μB/atom
uncorrected energy = -76.4 eV/cell

No. 5
# Sr3Ca

A PBEsol-optimized structure of Sr3Ca (SCAN, Alexandria).

a = 4.1021 Å, b = 6.7441 Å, c = 7.0956 Å
α = 90.00°, β = 90.00°, γ = 90.00°
With the nearest neighbours (Å) after each atom.
Space group Pmm2 (No. 25)
Asymmetric unit:
1 Sr 0.0000 0.0000 0.0000 [1 per cell]  4 Ca 4.10, 8 Sr 4.10-4.13
2 Sr 0.0000 0.5000 0.3361 [1 per cell]  8 Sr 4.06-4.13, 4 Ca 4.11
3 Sr 0.5000 0.5000 0.8304 [1 per cell]  10 Sr 4.06-4.13, 2 Ca 4.11
4 Ca 0.5000 0.0000 0.5002 [1 per cell]  10 Sr 4.10-4.11, 2 Ca 4.10

Summary:
formation energy = 0.1 eV per formula unit
magnetization = 0.050 μB/atom
uncorrected energy = -76.4 eV/cell

No. 6
# Sr3Ca

A PBEsol-optimized structure of Sr3Ca (SCAN, Alexandria).

a = 5.8058 Å, b = 5.8058 Å, c = 5.8058 Å
α = 90.00°, β = 90.00°, γ = 90.00°
With the nearest neighbours (Å) after each atom.
Space group Pm-3m (No. 221)
Asymmetric unit:
1 Sr 0.0000 0.0000 0.5000 [3 per cell]  4 Ca 4.11, 8 Sr 4.11
2 Ca 0.5000 0.5000 0.5000 [1 per cell]  12 Sr 4.11

Summary:
formation energy = 0.0 eV per formula unit
magnetization = 0.161 μB/atom
uncorrected energy = -76.4 eV/cell

No. 7
# Sr3Ca

A PBEsol-optimized structure of Sr3Ca (SCAN, Alexandria).

a = 4.1032 Å, b = 4.1032 Å, c = 13.5073 Å
α = 90.00°, β = 90.00°, γ = 120.00°
With the nearest neighbours (Å) after each atom.
Space group P-6m2 (No. 187)
Asymmetric unit:
1 Sr 0.0000 0.0000 0.0000 [1 per cell]  12 Sr 4.10-4.20
2 Sr 0.3333 0.6667 0.2572 [2 per cell]  3 Ca 4.05, 9 Sr 4.10-4.20
3 Ca 0.0000 0.0000 0.5000 [1 per cell]  6 Sr 4.05, 6 Ca 4.10

Summary:
formation energy = 0.1 eV per formula unit
magnetization = 0.072 μB/atom
uncorrected energy = -76.4 eV/cell

No. 8
# SrCa

A PBEsol-optimized structure of SrCa (SCAN, Alexandria).

a = 8.9725 Å, b = 8.9725 Å, c = 8.9725 Å
α = 90.00°, β = 90.00°, γ = 90.00°
With the nearest neighbours (Å) after each atom.
Space group Fd-3m (No. 227, origin choice 2)
Asymmetric unit:
1 Sr 0.1250 0.1250 0.1250 [8 per cell]  4 Ca 3.89, 4 Sr 3.89
2 Ca 0.1250 0.1250 0.6250 [8 per cell]  4 Sr 3.89, 4 Ca 3.89

Summary:
formation energy = 0.1 eV per formula unit
magnetization = 0.221 μB/atom
offset from the most stable computed form = 0.036 eV/atom
uncorrected energy = -254.7 eV/cell

No. 9
# SrCa

A PBEsol-optimized structure of SrCa (SCAN, Alexandria).

a = 6.6095 Å, b = 4.0143 Å, c = 6.9493 Å
α = 90.00°, β = 90.00°, γ = 90.00°
With the nearest neighbours (Å) after each atom.
Space group Pmma (No. 51)
Asymmetric unit:
1 Sr 0.2500 0.0000 0.1707 [2 per cell]  8 Ca 3.97-4.06, 4 Sr 4.01-4.07
2 Ca 0.2500 0.5000 0.6631 [2 per cell]  8 Sr 3.97-4.06, 4 Ca 4.01

Summary:
formation energy = 0.0 eV per formula unit
magnetization = 0.037 μB/atom
offset from the most stable computed form = 0.004 eV/atom
uncorrected energy = -63.8 eV/cell

No. 10
# Sr2Ca

A PBEsol-optimized structure of Sr2Ca (SCAN, Alexandria).

a = 4.0814 Å, b = 4.0814 Å, c = 9.9711 Å
α = 90.00°, β = 90.00°, γ = 120.00°
With the nearest neighbours (Å) after each atom.
Space group P-3m1 (No. 164)
Asymmetric unit:
1 Sr 0.3333 0.6667 0.3259 [2 per cell]  3 Ca 4.01, 9 Sr 4.08-4.20
2 Ca 0.0000 0.0000 0.0000 [1 per cell]  6 Sr 4.01, 6 Ca 4.08

Summary:
formation energy = 0.1 eV per formula unit
magnetization = 0.160 μB/atom
offset from the most stable computed form = 0.010 eV/atom
uncorrected energy = -54.1 eV/cell

No. 11
# SrCa

A PBEsol-optimized structure of SrCa (SCAN, Alexandria).

a = 4.0145 Å, b = 4.0145 Å, c = 13.2443 Å
α = 90.00°, β = 90.00°, γ = 120.00°
With the nearest neighbours (Å) after each atom.
Space group P6_3/mmc (No. 194)
Asymmetric unit:
1 Sr 0.0000 0.0000 0.0000 [2 per cell]  6 Sr 4.01, 6 Ca 4.04
2 Ca 0.3333 0.6667 0.2500 [2 per cell]  6 Ca 4.01, 6 Sr 4.04

Summary:
formation energy = 0.1 eV per formula unit
magnetization = 0.077 μB/atom
offset from the most stable computed form = 0.026 eV/atom
uncorrected energy = -63.7 eV/cell

No. 12
# SrCa

A PBEsol-optimized structure of SrCa (SCAN, Alexandria).

a = 4.0347 Å, b = 4.0347 Å, c = 11.2788 Å
α = 90.00°, β = 90.00°, γ = 90.00°
With the nearest neighbours (Å) after each atom.
Space group P4/nmm (No. 129, origin choice 2)
Asymmetric unit:
1 Sr 0.2500 0.2500 0.1372 [2 per cell]  4 Ca 4.01, 8 Sr 4.03-4.21
2 Ca 0.2500 0.2500 0.6126 [2 per cell]  8 Ca 3.82-4.03, 4 Sr 4.01

Summary:
formation energy = 0.0 eV per formula unit
magnetization = 0.167 μB/atom
offset from the most stable computed form = 0.000 eV/atom
uncorrected energy = -63.8 eV/cell